# 1
VB2PdO GGA+U optimized geometry; N(E_F) = 3.2 states/eV/cell; total moment = 0.42 μB/cell; raw total energy = -4.861 eV per atom
1.0
3.801 0.000 0.000
0.000 3.801 0.000
0.000 0.000 3.901
V B Pd O
1 2 1 1
direct
0.000 0.000 0.000
0.000 0.500 0.500
0.500 0.000 0.500
0.500 0.500 0.000
0.500 0.500 0.500

=====

# 2
B2PdWO GGA+U optimized geometry; N(E_F) = 1.6 states/eV/cell; total moment = 0.33 μB/cell; raw total energy = -4.976 eV per atom
1.0
3.913 0.000 0.000
0.000 3.913 0.000
0.000 0.000 3.847
B Pd W O
2 1 1 1
direct
0.000 0.500 0.000
0.500 0.000 0.000
0.000 0.000 0.500
0.500 0.500 0.500
0.500 0.500 0.000